The following is a DFT calculation (PBE) of crystalline BaCoAuSe3 at its relaxed geometry.

The total energy comes out at -4.3023 eV per atom.

The space group is Cmcm (No. 63) and the conventional cell measures 3.9025, 14.8485 and 10.4186 Å, with angles of 90.00, 90.00 and 90.00 degrees. The asymmetric unit holds Ba at (0.0000, 0.2217, 0.2500), Co at (0.0000, 0.5000, 0.0000), Au at (0.0000, 0.1043, 0.7500), Se at (0.0000, 0.1031, 0.5145) and Se at (0.0000, 0.4540, 0.7500).



The following is a DFT calculation (PBE) of crystalline BaCoTeAu at its relaxed geometry.

Its energy relative to the lowest polymorph listed for this composition is 0.207 eV per atom.

The space group is F-43m (No. 216) and the conventional cell measures 7.5673, 7.5673 and 7.5673 Å, with angles of 90.00, 90.00 and 90.00 degrees. The asymmetric unit holds Ba at (0.0000, 0.0000, 0.0000), Co at (0.2500, 0.2500, 0.2500), Te at (0.2500, 0.2500, 0.7500) and Au at (0.0000, 0.0000, 0.5000).



The following is a DFT calculation (PBE) of crystalline BaCoTeAu at its relaxed geometry.

Its energy relative to the lowest polymorph listed for this composition is 0.076 eV per atom.

The space group is F-43m (No. 216) and the conventional cell measures 7.4207, 7.4207 and 7.4207 Å, with angles of 90.00, 90.00 and 90.00 degrees. The asymmetric unit holds Ba at (0.0000, 0.0000, 0.0000), Co at (0.2500, 0.2500, 0.7500), Te at (0.0000, 0.0000, 0.5000) and Au at (0.2500, 0.2500, 0.2500).



The following is a DFT calculation (PBE) of crystalline BaCoTeAu at its relaxed geometry.

Its energy relative to the lowest polymorph listed for this composition is 0.000 eV per atom.

The space group is F-43m (No. 216) and the conventional cell measures 7.5624, 7.5624 and 7.5624 Å, with angles of 90.00, 90.00 and 90.00 degrees. The asymmetric unit holds Ba at (0.0000, 0.0000, 0.0000), Co at (0.0000, 0.0000, 0.5000), Te at (0.2500, 0.2500, 0.2500) and Au at (0.2500, 0.2500, 0.7500).



The following is a DFT calculation (PBE) of crystalline BaCoTe3Au at its relaxed geometry.

The total energy comes out at -4.0330 eV per atom.

The space group is Cmcm (No. 63) and the conventional cell measures 4.0768, 15.4282 and 11.0430 Å, with angles of 90.00, 90.00 and 90.00 degrees. The asymmetric unit holds Ba at (0.0000, 0.2434, 0.2500), Co at (0.0000, 0.5000, 0.0000), Te at (0.0000, 0.1079, 0.5099), Te at (0.0000, 0.4490, 0.7500) and Au at (0.0000, 0.0932, 0.7500).



The following is a DFT calculation (PBE) of crystalline BaCoWAu at its relaxed geometry.

Its energy relative to the lowest polymorph listed for this composition is 0.143 eV per atom.

The space group is F-43m (No. 216) and the conventional cell measures 6.7093, 6.7093 and 6.7093 Å, with angles of 90.00, 90.00 and 90.00 degrees. The asymmetric unit holds Ba at (0.0000, 0.0000, 0.0000), Co at (0.2500, 0.2500, 0.2500), W at (0.2500, 0.2500, 0.7500) and Au at (0.0000, 0.0000, 0.5000).



The following is a DFT calculation (PBE) of crystalline BaCoWAu at its relaxed geometry.

Its energy relative to the lowest polymorph listed for this composition is 0.000 eV per atom.

The space group is F-43m (No. 216) and the conventional cell measures 7.0033, 7.0033 and 7.0033 Å, with angles of 90.00, 90.00 and 90.00 degrees. The asymmetric unit holds Ba at (0.0000, 0.0000, 0.0000), Co at (0.2500, 0.2500, 0.7500), W at (0.0000, 0.0000, 0.5000) and Au at (0.2500, 0.2500, 0.2500).



The following is a DFT calculation (PBE) of crystalline BaCoWAu at its relaxed geometry.

Its energy relative to the lowest polymorph listed for this composition is 0.129 eV per atom.

The space group is F-43m (No. 216) and the conventional cell measures 6.8010, 6.8010 and 6.8010 Å, with angles of 90.00, 90.00 and 90.00 degrees. The asymmetric unit holds Ba at (0.0000, 0.0000, 0.0000), Co at (0.0000, 0.0000, 0.5000), W at (0.2500, 0.2500, 0.2500) and Au at (0.2500, 0.2500, 0.7500).



The following is a DFT calculation (PBE) of crystalline CsBaAu at its relaxed geometry.

Its energy relative to the lowest polymorph listed for this composition is 0.000 eV per atom.

The space group is F-43m (No. 216) and the conventional cell measures 8.2848, 8.2848 and 8.2848 Å, with angles of 90.00, 90.00 and 90.00 degrees. The asymmetric unit holds Cs at (0.0000, 0.0000, 0.0000), Ba at (0.0000, 0.0000, 0.5000) and Au at (0.2500, 0.2500, 0.7500).



The following is a DFT calculation (PBE) of crystalline CsBaHfAu at its relaxed geometry.

Its energy relative to the lowest polymorph listed for this composition is 0.184 eV per atom.

The space group is F-43m (No. 216) and the conventional cell measures 7.9495, 7.9495 and 7.9495 Å, with angles of 90.00, 90.00 and 90.00 degrees. The asymmetric unit holds Cs at (0.0000, 0.0000, 0.0000), Ba at (0.2500, 0.2500, 0.7500), Hf at (0.0000, 0.0000, 0.5000) and Au at (0.2500, 0.2500, 0.2500).



The following is a DFT calculation (PBE) of crystalline CsBaHfAu at its relaxed geometry.

Its energy relative to the lowest polymorph listed for this composition is 0.196 eV per atom.

The space group is F-43m (No. 216) and the conventional cell measures 8.4313, 8.4313 and 8.4313 Å, with angles of 90.00, 90.00 and 90.00 degrees. The asymmetric unit holds Cs at (0.0000, 0.0000, 0.0000), Ba at (0.0000, 0.0000, 0.5000), Hf at (0.2500, 0.2500, 0.7500) and Au at (0.2500, 0.2500, 0.2500).



The following is a DFT calculation (PBE) of crystalline CsBaHfAu at its relaxed geometry.

Its energy relative to the lowest polymorph listed for this composition is 0.000 eV per atom.

The space group is F-43m (No. 216) and the conventional cell measures 7.8385, 7.8385 and 7.8385 Å, with angles of 90.00, 90.00 and 90.00 degrees. The asymmetric unit holds Cs at (0.0000, 0.0000, 0.0000), Ba at (0.2500, 0.2500, 0.2500), Hf at (0.2500, 0.2500, 0.7500) and Au at (0.0000, 0.0000, 0.5000).



The following is a DFT calculation (PBE) of crystalline CsBaPbAu at its relaxed geometry.

Its energy relative to the lowest polymorph listed for this composition is 0.025 eV per atom.

The space group is F-43m (No. 216) and the conventional cell measures 8.1753, 8.1753 and 8.1753 Å, with angles of 90.00, 90.00 and 90.00 degrees. The asymmetric unit holds Cs at (0.0000, 0.0000, 0.0000), Ba at (0.2500, 0.2500, 0.7500), Pb at (0.0000, 0.0000, 0.5000) and Au at (0.2500, 0.2500, 0.2500).



The following is a DFT calculation (PBE) of crystalline CsBaPbAu at its relaxed geometry.

Its energy relative to the lowest polymorph listed for this composition is 0.000 eV per atom.

The space group is F-43m (No. 216) and the conventional cell measures 8.1317, 8.1317 and 8.1317 Å, with angles of 90.00, 90.00 and 90.00 degrees. The asymmetric unit holds Cs at (0.0000, 0.0000, 0.0000), Ba at (0.2500, 0.2500, 0.2500), Pb at (0.2500, 0.2500, 0.7500) and Au at (0.0000, 0.0000, 0.5000).



The following is a DFT calculation (PBE) of crystalline CsBaPbAu at its relaxed geometry.

Its energy relative to the lowest polymorph listed for this composition is 0.024 eV per atom.

The space group is F-43m (No. 216) and the conventional cell measures 8.5410, 8.5410 and 8.5410 Å, with angles of 90.00, 90.00 and 90.00 degrees. The asymmetric unit holds Cs at (0.0000, 0.0000, 0.0000), Ba at (0.0000, 0.0000, 0.5000), Pb at (0.2500, 0.2500, 0.7500) and Au at (0.2500, 0.2500, 0.2500).



The following is a DFT calculation (PBE) of crystalline CsBaSiAu at its relaxed geometry.

Its energy relative to the lowest polymorph listed for this composition is 0.009 eV per atom.

The space group is F-43m (No. 216) and the conventional cell measures 7.8801, 7.8801 and 7.8801 Å, with angles of 90.00, 90.00 and 90.00 degrees. The asymmetric unit holds Cs at (0.0000, 0.0000, 0.0000), Ba at (0.2500, 0.2500, 0.2500), Si at (0.0000, 0.0000, 0.5000) and Au at (0.2500, 0.2500, 0.7500).



The following is a DFT calculation (PBE) of crystalline CsBaSiAu at its relaxed geometry.

Its energy relative to the lowest polymorph listed for this composition is 0.000 eV per atom.

The space group is F-43m (No. 216) and the conventional cell measures 8.2710, 8.2710 and 8.2710 Å, with angles of 90.00, 90.00 and 90.00 degrees. The asymmetric unit holds Cs at (0.0000, 0.0000, 0.0000), Ba at (0.0000, 0.0000, 0.5000), Si at (0.2500, 0.2500, 0.2500) and Au at (0.2500, 0.2500, 0.7500).



The following is a DFT calculation (PBE) of crystalline CsBaSiAu at its relaxed geometry.

Its energy relative to the lowest polymorph listed for this composition is 0.003 eV per atom.

The space group is F-43m (No. 216) and the conventional cell measures 7.8514, 7.8514 and 7.8514 Å, with angles of 90.00, 90.00 and 90.00 degrees. The asymmetric unit holds Cs at (0.0000, 0.0000, 0.0000), Ba at (0.2500, 0.2500, 0.7500), Si at (0.2500, 0.2500, 0.2500) and Au at (0.0000, 0.0000, 0.5000).



The following is a DFT calculation (PBE) of crystalline CsBaSnAu at its relaxed geometry.

Its energy relative to the lowest polymorph listed for this composition is 0.034 eV per atom.

The space group is F-43m (No. 216) and the conventional cell measures 8.4877, 8.4877 and 8.4877 Å, with angles of 90.00, 90.00 and 90.00 degrees. The asymmetric unit holds Cs at (0.0000, 0.0000, 0.0000), Ba at (0.0000, 0.0000, 0.5000), Sn at (0.2500, 0.2500, 0.2500) and Au at (0.2500, 0.2500, 0.7500).



The following is a DFT calculation (PBE) of crystalline CsBaSnAu at its relaxed geometry.

Its energy relative to the lowest polymorph listed for this composition is 0.016 eV per atom.

The space group is F-43m (No. 216) and the conventional cell measures 8.1085, 8.1085 and 8.1085 Å, with angles of 90.00, 90.00 and 90.00 degrees. The asymmetric unit holds Cs at (0.0000, 0.0000, 0.0000), Ba at (0.2500, 0.2500, 0.2500), Sn at (0.0000, 0.0000, 0.5000) and Au at (0.2500, 0.2500, 0.7500).



The following is a DFT calculation (PBE) of crystalline CsBaSnAu at its relaxed geometry.

Its energy relative to the lowest polymorph listed for this composition is 0.000 eV per atom.

The space group is F-43m (No. 216) and the conventional cell measures 8.0606, 8.0606 and 8.0606 Å, with angles of 90.00, 90.00 and 90.00 degrees. The asymmetric unit holds Cs at (0.0000, 0.0000, 0.0000), Ba at (0.2500, 0.2500, 0.7500), Sn at (0.2500, 0.2500, 0.2500) and Au at (0.0000, 0.0000, 0.5000).



The following is a DFT calculation (PBE) of crystalline Ba2CuAu at its relaxed geometry.

Its energy relative to the lowest polymorph listed for this composition is 0.000 eV per atom.

The space group is Pmc2_1 (No. 26) and the conventional cell measures 4.7508, 6.6416 and 8.5912 Å, with angles of 90.00, 90.00 and 90.00 degrees. The asymmetric unit holds Ba at (0.0000, 0.1166, 0.0000), Ba at (0.5000, 0.3818, 0.3619), Cu at (0.0000, 0.3512, 0.6500) and Au at (0.5000, 0.1472, 0.7095).



The following is a DFT calculation (PBE) of crystalline BaCuGeAu at its relaxed geometry.

Its energy relative to the lowest polymorph listed for this composition is 0.089 eV per atom.

The space group is F-43m (No. 216) and the conventional cell measures 7.2714, 7.2714 and 7.2714 Å, with angles of 90.00, 90.00 and 90.00 degrees. The asymmetric unit holds Ba at (0.0000, 0.0000, 0.0000), Cu at (0.0000, 0.0000, 0.5000), Ge at (0.2500, 0.2500, 0.2500) and Au at (0.2500, 0.2500, 0.7500).



The following is a DFT calculation (PBE) of crystalline BaCuGeAu at its relaxed geometry.

Its energy relative to the lowest polymorph listed for this composition is 0.000 eV per atom.

The space group is F-43m (No. 216) and the conventional cell measures 7.2631, 7.2631 and 7.2631 Å, with angles of 90.00, 90.00 and 90.00 degrees. The asymmetric unit holds Ba at (0.0000, 0.0000, 0.0000), Cu at (0.2500, 0.2500, 0.7500), Ge at (0.0000, 0.0000, 0.5000) and Au at (0.2500, 0.2500, 0.2500).



The following is a DFT calculation (PBE) of crystalline BaCuGeAu at its relaxed geometry.

Its energy relative to the lowest polymorph listed for this composition is 0.039 eV per atom.

The space group is F-43m (No. 216) and the conventional cell measures 7.1483, 7.1483 and 7.1483 Å, with angles of 90.00, 90.00 and 90.00 degrees. The asymmetric unit holds Ba at (0.0000, 0.0000, 0.0000), Cu at (0.2500, 0.2500, 0.2500), Ge at (0.2500, 0.2500, 0.7500) and Au at (0.0000, 0.0000, 0.5000).



The following is a DFT calculation (PBE) of crystalline BaHfCuAu at its relaxed geometry.

Its energy relative to the lowest polymorph listed for this composition is 0.244 eV per atom.

The space group is F-43m (No. 216) and the conventional cell measures 7.0667, 7.0667 and 7.0667 Å, with angles of 90.00, 90.00 and 90.00 degrees. The asymmetric unit holds Ba at (0.0000, 0.0000, 0.0000), Hf at (0.2500, 0.2500, 0.2500), Cu at (0.0000, 0.0000, 0.5000) and Au at (0.2500, 0.2500, 0.7500).



The following is a DFT calculation (PBE) of crystalline BaHfCuAu at its relaxed geometry.

Its energy relative to the lowest polymorph listed for this composition is 0.000 eV per atom.

The space group is F-43m (No. 216) and the conventional cell measures 7.2883, 7.2883 and 7.2883 Å, with angles of 90.00, 90.00 and 90.00 degrees. The asymmetric unit holds Ba at (0.0000, 0.0000, 0.0000), Hf at (0.0000, 0.0000, 0.5000), Cu at (0.2500, 0.2500, 0.7500) and Au at (0.2500, 0.2500, 0.2500).



The following is a DFT calculation (PBE) of crystalline BaHfCuAu at its relaxed geometry.

Its energy relative to the lowest polymorph listed for this composition is 0.100 eV per atom.

The space group is F-43m (No. 216) and the conventional cell measures 6.9958, 6.9958 and 6.9958 Å, with angles of 90.00, 90.00 and 90.00 degrees. The asymmetric unit holds Ba at (0.0000, 0.0000, 0.0000), Hf at (0.2500, 0.2500, 0.7500), Cu at (0.2500, 0.2500, 0.2500) and Au at (0.0000, 0.0000, 0.5000).



The following is a DFT calculation (PBE) of crystalline Ba2CuP2Au at its relaxed geometry.

The total energy comes out at -4.4012 eV per atom.

The space group is P-6m2 (No. 187) and the conventional cell measures 4.3512, 4.3512 and 9.1739 Å, with angles of 90.00, 90.00 and 120.00 degrees. The asymmetric unit holds Ba at (0.0000, 0.0000, 0.2445), Cu at (0.6667, 0.3333, 0.0000), P at (0.3333, 0.6667, 0.0000), P at (0.6667, 0.3333, 0.5000) and Au at (0.3333, 0.6667, 0.5000).